No. 1
ThZnNi2 | the Alexandria database | PBE-GGA | relaxed; spin magnetization = 0.00 μB/atom
1.0
-1.7261 -2.6513 -1.8355
1.1271 -3.0630 3.3644
-3.2437 -0.2257 3.3762
Th Zn Ni
1 1 2
direct
0.0000 0.0539 0.9461
0.5000 0.5538 0.4462
0.5000 0.0537 0.4463
0.5000 0.5537 0.9463

No. 2
Ca2NbAg2 | the Alexandria database | PBE-GGA | relaxed; relative energy among the computed polymorphs = 0.0 kJ per mole of atoms; spin magnetization = 0.53 μB/atom
1.0
7.5233 0.0000 0.0000
0.0000 7.5233 0.0000
0.0000 0.0000 4.4314
Nb Ca Ag
2 4 4
direct
0.0000 0.0000 0.0000
0.5000 0.5000 0.0000
0.1748 0.6748 0.5000
0.6748 0.8252 0.5000
0.8252 0.3252 0.5000
0.3252 0.1748 0.5000
0.3679 0.8679 0.0000
0.8679 0.6321 0.0000
0.6321 0.1321 0.0000
0.1321 0.3679 0.0000

No. 3
BaMgSi3 | the Alexandria database | PBE-GGA | relaxed; relative energy among the computed polymorphs = 0.0 kJ per mole of atoms; ΔE_f (raw) = 0.428 eV per atom; spin magnetization = 0.00 μB/atom
1.0
5.0594 0.0000 0.0000
0.0000 5.0594 0.0000
0.0000 0.0000 5.0594
Mg Si Ba
1 3 1
direct
0.0000 0.0000 0.0000
0.0000 0.5000 0.0000
0.0000 0.0000 0.5000
0.5000 0.0000 0.0000
0.5000 0.5000 0.5000

No. 4
AcAg4Pd | the Alexandria database | PBE-GGA | relaxed; relative energy among the computed polymorphs = 1.8 kJ per mole of atoms; spin magnetization = 0.00 μB/atom
1.0
4.3221 0.0000 0.0000
0.0000 7.3151 0.0000
0.0000 0.0000 8.4289
Ac Ag Pd
2 8 2
direct
0.0000 0.6066 0.7500
0.0000 0.3934 0.2500
0.0000 0.0000 0.5000
0.0000 0.0000 0.0000
0.5000 0.9642 0.7500
0.5000 0.0358 0.2500
0.5000 0.7046 0.0414
0.5000 0.2954 0.9586
0.5000 0.7046 0.4586
0.5000 0.2954 0.5414
0.0000 0.2282 0.7500
0.0000 0.7718 0.2500

Number 1: total energy -21.16 eV per formula unit. Number 2: total energy -18.69 eV per formula unit. Number 3: total energy -17.65 eV per formula unit. Number 4: total energy -21.91 eV per formula unit.